Computed, not measured: a relaxed structure of Tm3PuAl8 at the PBE level of DFT.

Summary:
V = 19.84 Å³ per atom
Magnetization = 18.30 μB per cell
ΔE_f = -0.44 eV/atom

Cell and atoms, written as CIF:
```
data_Tm3PuAl8
_cell_length_a 5.5130
_cell_length_b 5.5130
_cell_length_c 27.1296
_cell_angle_alpha 90.00
_cell_angle_beta 90.00
_cell_angle_gamma 120.00
_space_group_name_H-M_alt 'R 3 m'
_space_group_IT_number 160
_space_group_name_Hall 'R 3 -2"'
loop_
_atom_site_label
_atom_site_fract_x
_atom_site_fract_y
_atom_site_fract_z
Tm1 0.0000 0.0000 0.0000
Tm2 0.0000 0.0000 0.1261
Tm3 0.0000 0.0000 0.5032
Pu1 0.0000 0.0000 0.6266
Al1 0.0000 0.0000 0.3138
Al2 0.0000 0.0000 0.8137
Al3 0.9995 0.4998 0.0645
Al4 0.1671 0.3342 0.8966
```